# SiTcMo2 PBE-GGA relaxed
data_SiTcMo2
_cell_length_a 3.2811
_cell_length_b 4.4248
_cell_length_c 8.1798
_cell_angle_alpha 90.00
_cell_angle_beta 90.00
_cell_angle_gamma 90.00
_space_group_name_H-M_alt 'C m m m'
_space_group_IT_number 65
_space_group_name_Hall '-C 2 2'
loop_
_atom_site_label
_atom_site_type_symbol
_atom_site_fract_x
_atom_site_fract_y
_atom_site_fract_z
Si1 Si 0.0000 0.0000 0.0000
Tc1 Tc 0.0000 0.0000 0.5000
Mo1 Mo 0.0000 0.5000 0.2389
# - M_tot: 0.0 μB/f.u.
# - Formation energy without anion corrections: 0.0315 eV per atom